An optimized crystal structure of CrCdAg2F8, computed with PBE with a Hubbard U.

Cell: 5.210 5.278 6.824 Å, 90.00 90.00 94.17°
Each line ends with the local moment (μB).
Fractional coordinates of all 12 atoms:
1 Cr 0.000 0.000 0.000  2.96
2 Cd 0.000 0.000 0.500  0.00
3 Ag 0.500 0.500 0.761  0.30
4 Ag 0.500 0.500 0.239  0.30
5 F 0.171 0.834 0.216  -0.01
6 F 0.725 0.723 0.000  0.05
7 F 0.829 0.166 0.216  -0.01
8 F 0.829 0.166 0.784  -0.01
9 F 0.275 0.277 0.000  0.05
10 F 0.171 0.834 0.784  -0.01
11 F 0.689 0.688 0.500  0.10
12 F 0.311 0.312 0.500  0.10

## Properties
Volume in Å³ per cell: 187.1
SG: No. 10
Magnetization in μB per atom: 0.326
VASP energy in Ry/atom: -0.31882